## i
{"formula": "Nd4GaAg3", "functional": "PBE-GGA", "state": "relaxed", "lattice_angstrom": [[3.799, 0.000, 0.000], [0.000, 4.812, 0.000], [0.000, 0.000, 11.731]], "species": ["Nd", "Nd", "Nd", "Nd", "Ga", "Ag", "Ag", "Ag"], "fractional_positions": [[0.000, 0.000, 0.000], [0.000, 0.500, 0.292], [0.500, 0.000, 0.495], [0.500, 0.500, 0.790], [0.500, 0.000, 0.223], [0.000, 0.000, 0.720], [0.000, 0.500, 0.571], [0.500, 0.500, 0.071]]}

***

## ii
{"formula": "Nd4GaAg3", "functional": "PBE-GGA", "state": "relaxed", "lattice_angstrom": [[3.703, 0.000, 0.000], [0.000, 3.703, 0.000], [0.000, 0.000, 15.249]], "species": ["Nd", "Nd", "Nd", "Nd", "Ga", "Ag", "Ag", "Ag"], "fractional_positions": [[0.000, 0.000, 0.121], [0.000, 0.000, 0.373], [0.000, 0.000, 0.627], [0.000, 0.000, 0.879], [0.500, 0.500, 0.000], [0.500, 0.500, 0.249], [0.500, 0.500, 0.500], [0.500, 0.500, 0.751]]}

***

The energy of each structure relative to the most stable one, in meV/atom, is as follows: i 28; ii 0.

***

## i
{"formula": "Nd3GaAg", "functional": "PBE-GGA", "state": "relaxed", "lattice_angstrom": [[2.648, -9.954, 0.000], [2.648, 9.954, 0.000], [0.000, 0.000, 5.303]], "species": ["Nd", "Nd", "Nd", "Nd", "Nd", "Nd", "Ga", "Ga", "Ag", "Ag"], "fractional_positions": [[0.063, 0.937, 0.750], [0.248, 0.752, 0.750], [0.432, 0.568, 0.750], [0.568, 0.432, 0.250], [0.752, 0.248, 0.250], [0.937, 0.063, 0.250], [0.154, 0.846, 0.250], [0.846, 0.154, 0.750], [0.343, 0.657, 0.250], [0.657, 0.343, 0.750]]}

***

## ii
{"formula": "Nd3GaAg", "functional": "PBE-GGA", "state": "relaxed", "lattice_angstrom": [[8.100, -4.131, 0.000], [8.100, 4.131, 0.000], [-6.072, 0.000, 8.358]], "species": ["Nd", "Nd", "Nd", "Nd", "Nd", "Nd", "Nd", "Nd", "Nd", "Nd", "Nd", "Nd", "Ga", "Ga", "Ga", "Ga", "Ag", "Ag", "Ag", "Ag"], "fractional_positions": [[0.033, 0.576, 0.886], [0.094, 0.783, 0.501], [0.217, 0.906, 0.999], [0.286, 0.438, 0.643], [0.424, 0.967, 0.614], [0.438, 0.286, 0.143], [0.562, 0.714, 0.857], [0.576, 0.033, 0.386], [0.714, 0.562, 0.357], [0.783, 0.094, 0.001], [0.906, 0.217, 0.499], [0.967, 0.424, 0.114], [0.129, 0.179, 0.322], [0.179, 0.129, 0.822], [0.821, 0.871, 0.178], [0.871, 0.821, 0.678], [0.207, 0.793, 0.250], [0.500, 0.500, 0.000], [0.500, 0.500, 0.500], [0.793, 0.207, 0.750]]}

***

The energy of each structure relative to the most stable one, in meV/atom, is as follows: i 0; ii 78.

***

## i
{"formula": "NdGaAg4", "functional": "PBE-GGA", "state": "relaxed", "lattice_angstrom": [[7.847, 0.000, 0.000], [0.000, 4.232, 0.000], [0.000, 0.000, 7.509]], "species": ["Nd", "Nd", "Ga", "Ga", "Ag", "Ag", "Ag", "Ag", "Ag", "Ag", "Ag", "Ag"], "fractional_positions": [[0.250, 0.000, 0.117], [0.750, 0.000, 0.883], [0.250, 0.000, 0.721], [0.750, 0.000, 0.279], [0.000, 0.000, 0.500], [0.054, 0.500, 0.815], [0.250, 0.500, 0.444], [0.446, 0.500, 0.815], [0.500, 0.000, 0.500], [0.554, 0.500, 0.185], [0.750, 0.500, 0.556], [0.946, 0.500, 0.185]]}

***

## ii
{"formula": "NdGaAg4", "functional": "PBE-GGA", "state": "relaxed", "lattice_angstrom": [[0.000, 3.959, 3.959], [3.959, 0.000, 3.959], [3.959, 3.959, 0.000]], "species": ["Nd", "Ga", "Ag", "Ag", "Ag", "Ag"], "fractional_positions": [[0.000, 0.000, 0.000], [0.750, 0.750, 0.750], [0.375, 0.375, 0.375], [0.375, 0.375, 0.874], [0.375, 0.874, 0.375], [0.874, 0.375, 0.375]]}

***

The energy of each structure relative to the most stable one, in meV/atom, is as follows: i 13; ii 0.

***

## i
{"formula": "Nd6Ga2Ag", "functional": "PBE-GGA", "state": "relaxed", "lattice_angstrom": [[6.453, 0.000, 0.000], [0.000, 8.495, 0.000], [-5.436, 0.000, 9.816]], "species": ["Nd", "Nd", "Nd", "Nd", "Nd", "Nd", "Nd", "Nd", "Nd", "Nd", "Nd", "Nd", "Ga", "Ga", "Ga", "Ga", "Ag", "Ag"], "fractional_positions": [[0.076, 0.052, 0.224], [0.076, 0.448, 0.724], [0.173, 0.698, 0.069], [0.173, 0.802, 0.569], [0.417, 0.156, 0.058], [0.417, 0.344, 0.558], [0.583, 0.656, 0.442], [0.583, 0.844, 0.942], [0.827, 0.198, 0.431], [0.827, 0.302, 0.931], [0.924, 0.552, 0.276], [0.924, 0.948, 0.776], [0.317, 0.121, 0.741], [0.317, 0.379, 0.241], [0.683, 0.621, 0.759], [0.683, 0.879, 0.259], [0.500, 0.000, 0.500], [0.500, 0.500, 0.000]]}

***

## ii
{"formula": "Nd6Ga2Ag", "functional": "PBE-GGA", "state": "relaxed", "lattice_angstrom": [[-4.959, 5.073, 5.298], [4.959, -5.073, 5.298], [4.959, 5.073, -5.298]], "species": ["Nd", "Nd", "Nd", "Nd", "Nd", "Nd", "Nd", "Nd", "Nd", "Nd", "Nd", "Nd", "Ga", "Ga", "Ga", "Ga", "Ag", "Ag"], "fractional_positions": [[0.033, 0.825, 0.207], [0.252, 0.555, 0.303], [0.252, 0.949, 0.697], [0.270, 0.324, 0.594], [0.270, 0.676, 0.946], [0.382, 0.175, 0.207], [0.618, 0.825, 0.793], [0.730, 0.324, 0.054], [0.730, 0.676, 0.406], [0.748, 0.051, 0.303], [0.748, 0.445, 0.697], [0.967, 0.175, 0.793], [0.000, 0.141, 0.141], [0.000, 0.859, 0.859], [0.378, 0.378, 0.000], [0.622, 0.622, 0.000], [0.000, 0.500, 0.500], [0.500, 0.000, 0.500]]}

***

The energy of each structure relative to the most stable one, in meV/atom, is as follows: i 80; ii 0.

***

## i
{"formula": "Nd2GaAg3", "functional": "PBE-GGA", "state": "relaxed", "lattice_angstrom": [[0.000, 4.755, 8.290], [3.554, 0.000, 8.290], [3.554, 4.755, 0.000]], "species": ["Nd", "Nd", "Nd", "Nd", "Ga", "Ga", "Ag", "Ag", "Ag", "Ag", "Ag", "Ag"], "fractional_positions": [[0.245, 0.755, 0.755], [0.250, 0.250, 0.250], [0.750, 0.750, 0.750], [0.755, 0.245, 0.245], [0.333, 0.333, 0.667], [0.667, 0.667, 0.333], [0.170, 0.170, 0.830], [0.172, 0.659, 0.341], [0.341, 0.828, 0.172], [0.659, 0.172, 0.828], [0.828, 0.341, 0.659], [0.830, 0.830, 0.170]]}

***

## ii
{"formula": "Nd2GaAg3", "functional": "PBE-GGA", "state": "relaxed", "lattice_angstrom": [[-1.903, 2.241, 8.659], [1.903, -2.241, 8.659], [1.903, 2.241, -8.659]], "species": ["Nd", "Nd", "Ga", "Ag", "Ag", "Ag"], "fractional_positions": [[0.000, 0.000, 0.000], [0.737, 0.237, 0.500], [0.581, 0.581, 0.000], [0.155, 0.655, 0.500], [0.315, 0.815, 0.500], [0.427, 0.427, 0.000]]}

***

The energy of each structure relative to the most stable one, in meV/atom, is as follows: i 0; ii 70.

***

## i
{"formula": "Ga2NiAg", "functional": "PBE-GGA", "state": "relaxed", "lattice_angstrom": [[0.000, 3.104, 3.104], [3.104, 0.000, 3.104], [3.104, 3.104, 0.000]], "species": ["Ga", "Ga", "Ni", "Ag"], "fractional_positions": [[0.250, 0.250, 0.250], [0.750, 0.750, 0.750], [0.000, 0.000, 0.000], [0.500, 0.500, 0.500]]}

***

## ii
{"formula": "Ga2NiAg", "functional": "PBE-GGA", "state": "relaxed", "lattice_angstrom": [[-3.557, 3.557, 2.676], [3.557, -3.557, 2.676], [3.557, 3.557, -2.676]], "species": ["Ga", "Ga", "Ga", "Ga", "Ni", "Ni", "Ag", "Ag"], "fractional_positions": [[0.080, 0.125, 0.455], [0.375, 0.920, 0.045], [0.670, 0.625, 0.545], [0.875, 0.330, 0.955], [0.000, 0.000, 0.000], [0.750, 0.250, 0.500], [0.250, 0.750, 0.500], [0.500, 0.500, 0.000]]}

***

## iii
{"formula": "Ga2NiAg", "functional": "PBE-GGA", "state": "relaxed", "lattice_angstrom": [[2.031, 1.173, 4.606], [-2.031, 1.173, 4.606], [0.000, -2.345, 4.606]], "species": ["Ga", "Ga", "Ni", "Ag"], "fractional_positions": [[0.000, 0.000, 0.000], [0.219, 0.219, 0.219], [0.592, 0.592, 0.592], [0.784, 0.784, 0.784]]}

***

## iv
{"formula": "Ga2NiAg", "functional": "PBE-GGA", "state": "relaxed", "lattice_angstrom": [[2.927, 0.000, 0.000], [0.000, 2.927, 0.000], [0.000, 0.000, 7.024]], "species": ["Ga", "Ga", "Ni", "Ag"], "fractional_positions": [[0.000, 0.000, 0.208], [0.000, 0.000, 0.792], [0.500, 0.500, 0.000], [0.500, 0.500, 0.500]]}

***

The energy of each structure relative to the most stable one, in meV/atom, is as follows: i 104; ii 245; iii 46; iv 0.

***

## i
{"formula": "GaNiAg", "functional": "PBE-GGA", "state": "relaxed", "lattice_angstrom": [[-1.517, 1.517, 4.756], [1.517, -1.517, 4.756], [1.517, 1.517, -4.756]], "species": ["Ga", "Ni", "Ag"], "fractional_positions": [[0.000, 0.000, 0.000], [0.620, 0.620, 0.000], [0.308, 0.308, 0.000]]}

***

## ii
{"formula": "GaNiAg", "functional": "PBE-GGA", "state": "relaxed", "lattice_angstrom": [[2.097, 1.211, 6.334], [-2.097, 1.211, 6.334], [0.000, -2.422, 6.334]], "species": ["Ga", "Ga", "Ni", "Ni", "Ag", "Ag"], "fractional_positions": [[0.095, 0.095, 0.095], [0.905, 0.905, 0.905], [0.219, 0.219, 0.219], [0.781, 0.781, 0.781], [0.372, 0.372, 0.372], [0.628, 0.628, 0.628]]}

***

The energy of each structure relative to the most stable one, in meV/atom, is as follows: i 0; ii 98.

***

## i
{"formula": "Ga2Ni2Ag", "functional": "PBE-GGA", "state": "relaxed", "lattice_angstrom": [[7.066, 0.000, 0.000], [0.000, 7.066, 0.000], [0.000, 0.000, 2.772]], "species": ["Ga", "Ga", "Ga", "Ga", "Ni", "Ni", "Ni", "Ni", "Ag", "Ag"], "fractional_positions": [[0.148, 0.352, 0.000], [0.352, 0.852, 0.000], [0.648, 0.148, 0.000], [0.852, 0.648, 0.000], [0.146, 0.646, 0.500], [0.354, 0.146, 0.500], [0.646, 0.854, 0.500], [0.854, 0.354, 0.500], [0.000, 0.000, 0.000], [0.500, 0.500, 0.000]]}

***

## ii
{"formula": "Ga2Ni2Ag", "functional": "PBE-GGA", "state": "relaxed", "lattice_angstrom": [[-1.860, 1.860, 5.498], [1.860, -1.860, 5.498], [1.860, 1.860, -5.498]], "species": ["Ga", "Ga", "Ni", "Ni", "Ag"], "fractional_positions": [[0.114, 0.114, 0.000], [0.886, 0.886, 0.000], [0.250, 0.750, 0.500], [0.750, 0.250, 0.500], [0.500, 0.500, 0.000]]}

***

The energy of each structure relative to the most stable one, in meV/atom, is as follows: i 0; ii 195.

***

## i
{"formula": "SrGa2NiAg", "functional": "PBE-GGA", "state": "relaxed", "lattice_angstrom": [[4.609, 0.000, 0.000], [0.000, 4.609, 0.000], [0.000, 0.000, 5.111]], "species": ["Sr", "Ga", "Ga", "Ni", "Ag"], "fractional_positions": [[0.000, 0.000, 0.000], [0.000, 0.500, 0.500], [0.500, 0.000, 0.500], [0.500, 0.500, 0.500], [0.500, 0.500, 0.000]]}

***

## ii
{"formula": "SrGa2NiAg", "functional": "PBE-GGA", "state": "relaxed", "lattice_angstrom": [[4.858, 0.000, 0.000], [0.000, 4.858, 0.000], [0.000, 0.000, 5.861]], "species": ["Sr", "Ga", "Ga", "Ni", "Ag"], "fractional_positions": [[0.000, 0.000, 0.000], [0.000, 0.500, 0.500], [0.500, 0.000, 0.500], [0.500, 0.500, 0.000], [0.000, 0.000, 0.500]]}

***

The energy of each structure relative to the most stable one, in meV/atom, is as follows: i 0; ii 767.

***

## i
{"formula": "NpGa2Ag", "functional": "PBE-GGA", "state": "relaxed", "lattice_angstrom": [[2.719, 0.000, 0.000], [0.000, 2.719, 0.000], [0.000, 0.000, 9.275]], "species": ["Np", "Ga", "Ga", "Ag"], "fractional_positions": [[0.000, 0.000, 0.000], [0.500, 0.500, 0.256], [0.500, 0.500, 0.744], [0.000, 0.000, 0.500]]}

***

## ii
{"formula": "NpGa2Ag", "functional": "PBE-GGA", "state": "relaxed", "lattice_angstrom": [[0.000, 3.412, 3.412], [3.412, 0.000, 3.412], [3.412, 3.412, 0.000]], "species": ["Np", "Ga", "Ga", "Ag"], "fractional_positions": [[0.000, 0.000, 0.000], [0.250, 0.250, 0.250], [0.750, 0.750, 0.750], [0.500, 0.500, 0.500]]}

***

The energy of each structure relative to the most stable one, in meV/atom, is as follows: i 33; ii 0.

***

## i
{"formula": "Ga3AgO", "functional": "PBE-GGA", "state": "relaxed", "lattice_angstrom": [[4.450, 0.000, 0.000], [0.000, 4.450, 0.000], [0.000, 0.000, 4.450]], "species": ["Ga", "Ga", "Ga", "Ag", "O"], "fractional_positions": [[0.000, 0.000, 0.500], [0.000, 0.500, 0.000], [0.500, 0.000, 0.000], [0.500, 0.500, 0.500], [0.000, 0.000, 0.000]]}

***

## ii
{"formula": "Ga3AgO", "functional": "PBE-GGA", "state": "relaxed", "lattice_angstrom": [[4.872, 0.000, 0.000], [0.000, 4.872, 0.000], [0.000, 0.000, 4.872]], "species": ["Ga", "Ga", "Ga", "Ag", "O"], "fractional_positions": [[0.000, 0.000, 0.500], [0.000, 0.500, 0.000], [0.500, 0.000, 0.000], [0.000, 0.000, 0.000], [0.500, 0.500, 0.500]]}

***

The energy of each structure relative to the most stable one, in meV/atom, is as follows: i 0; ii 631.